The following is a DFT calculation (PBE) of an optimized crystal structure of Sn2As2Cl.

POSCAR file:
```
Sn2As2Cl
1.0
-5.639 0.934 5.985
-5.332 -4.646 -4.298
1.278 -3.016 1.675
As Sn Cl
4 4 2
Cartesian
-3.254 -4.246 -1.123
-7.547 -5.063 0.681
-6.440 -2.482 4.485
-2.146 -1.665 2.680
-6.317 -3.558 -1.588
-8.254 -2.322 2.116
-4.654 -0.153 3.275
-2.717 -1.390 -0.430
0.000 0.000 0.000
-5.486 -1.856 0.843
```

Values from the calculation:
Energy = -3.898 eV/atom
Formation energy (no corrections) = -0.068 eV per atom

---

The following is a DFT calculation (PBE) of an optimized crystal structure of Ba8PI4N3.

POSCAR file:
```
Ba8PI4N3
1.0
-1.680 1.777 -8.418
3.994 -8.591 -2.611
-6.568 -0.333 5.804
Ba P I N
8 1 4 3
Cartesian
-3.877 -5.732 1.692
-0.806 -5.576 -1.016
-2.767 -2.459 0.033
-4.660 -4.903 -2.234
0.406 -2.244 -2.990
-1.487 -4.687 -5.257
-3.447 -1.570 -4.208
-0.377 -1.415 -6.916
1.997 -4.295 -1.305
-0.840 0.889 -4.209
-4.124 0.722 -1.307
0.000 0.000 0.000
-3.284 -0.166 2.902
1.157 -3.407 -5.514
-2.127 -3.573 -2.612
-1.287 -4.462 1.597
```

Values from the calculation:
Energy = -4.329 eV/atom
Formation energy (no corrections) = -1.081 eV per atom